Entry 1:
First-principles (PBE) data for a relaxed structure of Zr5Bi3, as listed in the Alexandria database. Values from VASP.

Geometry as Quantum ESPRESSO input:
```
&SYSTEM
  ibrav = 0, nat = 16, ntyp = 2
/
ATOMIC_SPECIES
Bi 208.98 Bi.upf
Zr 91.22 Zr.upf
CELL_PARAMETERS angstrom
-1.2980 8.5707 0.7765
-6.7717 -5.4632 0.2074
0.5416 -0.4488 5.8590
ATOMIC_POSITIONS crystal
Bi 0.0000 0.6132 0.7500
Bi 0.6132 0.0000 0.7500
Bi 0.3868 0.3868 0.7500
Bi 0.6132 0.6132 0.2500
Bi 0.3868 0.0000 0.2500
Bi 0.0000 0.3868 0.2500
Zr 0.3333 0.6667 0.5000
Zr 0.7472 0.7472 0.7500
Zr 0.2528 0.0000 0.7500
Zr 0.6667 0.3333 0.5000
Zr 0.2528 0.2528 0.2500
Zr 0.7472 0.0000 0.2500
Zr 0.0000 0.2528 0.7500
Zr 0.6667 0.3333 0.0000
Zr 0.0000 0.7472 0.2500
Zr 0.3333 0.6667 0.0000
```

Energy of formation in eV/f.u.: -2.4
Fermi-level density of states in states/eV/cell: 18.93
Magnetization in μB per formula unit: 0.001
Energy above the lowest structure with this stoichiometry in meV per atom: 40
Energy in eV per atom: -7.100

Entry 2:
First-principles (PBE) data for a relaxed structure of Y2PRhI, as listed in the Alexandria database. Values from VASP.

Geometry as Quantum ESPRESSO input:
```
&SYSTEM
  ibrav = 0, nat = 5, ntyp = 4
/
ATOMIC_SPECIES
P 30.97 P.upf
I 126.90 I.upf
Rh 102.91 Rh.upf
Y 88.91 Y.upf
CELL_PARAMETERS angstrom
5.4216 0.0000 0.0000
0.0000 4.8533 0.0000
0.0000 0.0000 5.4216
ATOMIC_POSITIONS crystal
P 0.5000 0.5000 0.5000
I 0.0000 0.5000 0.0000
Rh 0.0000 0.0000 0.0000
Y 0.0000 0.0000 0.5000
Y 0.5000 0.0000 0.0000
```

Energy relative to the elements, uncorrected in meV/atom: -91
Fermi-level density of states in states/eV/cell: 3.47
Magnetization in μB per formula unit: 0.000
Energy in eV per atom: -5.539